Arrangement i

VASP calculation (GGA-PBE) on a geometry-optimized Nd4Sn2C structure.

```
Nd4Sn2C
1.0
-3.911 -0.792 -3.018
-1.236 -4.051 2.664
-2.172 7.104 5.098
C Nd Sn
1 4 2
Cartesian
0.000 0.000 0.000 C
-5.778 0.741 3.146 Nd
-1.541 1.520 1.598 Nd
-0.618 -2.026 1.332 Nd
-1.956 -0.396 -1.509 Nd
-3.892 -1.121 1.190 Sn
-3.427 3.382 3.554 Sn
```

***

Arrangement ii

VASP calculation (GGA-PBE) on a geometry-optimized Nd4Sn2C structure.

```
Nd4Sn2C
1.0
6.806 0.000 -0.370
0.000 6.901 0.000
-2.926 0.000 9.134
Nd Sn C
8 4 2
Cartesian
2.685 3.438 2.262 Nd
-2.004 5.176 8.504 Nd
5.884 1.725 0.261 Nd
2.685 0.013 2.262 Nd
4.447 1.725 5.592 Nd
1.194 6.888 6.502 Nd
1.194 3.463 6.502 Nd
-0.568 5.176 3.173 Nd
4.593 5.176 0.092 Sn
-0.713 1.725 8.673 Sn
0.138 1.725 3.782 Sn
3.741 5.176 4.983 Sn
1.272 5.176 1.701 C
2.608 1.725 7.063 C
```

***

Going by the energies, arrangement i is most stable and the next is 7.7 kJ/mol of atoms up.